# NpVPb2O8 PBE with a Hubbard U relaxed
# magnetic moment: 0.052 Bohr magnetons per cell
# final energy: -7.38 eV/atom
data_NpVPb2O8
_symmetry_space_group_name_H-M 'P 1 2/m 1'
_symmetry_Int_Tables_number 10
_symmetry_space_group_name_Hall '-P 2y'
_cell_length_a 5.305
_cell_length_b 6.561
_cell_length_c 5.338
_cell_angle_alpha 90.00
_cell_angle_beta 91.30
_cell_angle_gamma 90.00
loop_
_atom_site_label
_atom_site_fract_x
_atom_site_fract_y
_atom_site_fract_z
Np1 0.000 0.000 0.000
V1 0.000 0.500 0.000
Pb1 0.500 0.263 0.500
O1 0.168 0.259 0.838
O2 0.240 0.500 0.244
O3 0.255 0.000 0.261

***

# NpVPb2O6 PBE with a Hubbard U relaxed
# magnetic moment: 8.000 Bohr magnetons per cell
# final energy: -7.73 eV/atom
data_NpVPb2O6
_symmetry_space_group_name_H-M 'P 1 21/c 1'
_symmetry_Int_Tables_number 14
_symmetry_space_group_name_Hall '-P 2ybc'
_cell_length_a 5.888
_cell_length_b 5.851
_cell_length_c 10.140
_cell_angle_alpha 90.00
_cell_angle_beta 125.25
_cell_angle_gamma 90.00
loop_
_atom_site_label
_atom_site_fract_x
_atom_site_fract_y
_atom_site_fract_z
Np1 0.000 0.000 0.000
V1 0.500 0.000 0.500
Pb1 0.258 0.021 0.758
O1 0.181 0.220 0.466
O2 0.271 0.719 0.472
O3 0.321 0.011 0.258

***

no.,volume (Å³ per atom)
1,15.48
2,14.26